Compound: Sc2ZnCu
Source: the Alexandria database
Functional: GGA-PBE
Structure: relaxed

```
Sc2ZnCu
1.0
-0.125 -3.098 1.342
4.962 -1.243 -2.411
5.354 0.533 1.727
Cu Sc Zn
1 2 1
direct
0.000 0.000 0.500 Cu
0.000 0.000 0.000 Sc
0.500 0.500 0.000 Sc
0.500 0.500 0.500 Zn
```

Output
Symmetry ... P2/m (10)
Electronic total energy ... -18.19 eV for the cell shown
Energy of formation from the pure elements ... -0.04 eV per atom
Calculated density ... 4.59 Mg/m³


Compound: Sc2Zn5Cu
Source: the Alexandria database
Functional: GGA-PBE
Structure: relaxed

```
Sc2Zn5Cu
1.0
-2.484 2.132 -1.887
-4.340 -2.667 6.485
2.598 7.178 4.691
Sc Zn Cu
4 10 2
direct
0.822 0.644 0.750 Sc
0.178 0.356 0.250 Sc
0.000 0.000 0.000 Sc
0.000 0.000 0.500 Sc
0.207 0.414 0.898 Zn
0.793 0.586 0.102 Zn
0.207 0.414 0.602 Zn
0.793 0.586 0.398 Zn
0.368 0.735 0.972 Zn
0.632 0.265 0.028 Zn
0.368 0.735 0.528 Zn
0.632 0.265 0.472 Zn
0.610 0.220 0.750 Zn
0.390 0.780 0.250 Zn
0.458 0.917 0.750 Cu
0.542 0.083 0.250 Cu
```

Output
Symmetry ... Cmcm (63)
Electronic total energy ... -49.90 eV for the cell shown
Energy of formation from the pure elements ... -0.23 eV per atom
Calculated density ... 5.87 Mg/m³


Compound: ScZn4Cu2
Source: the Alexandria database
Functional: GGA-PBE
Structure: relaxed

```
ScZn4Cu2
1.0
0.330 3.163 3.767
4.400 0.072 2.784
1.856 4.774 -0.940
Sc Zn Cu
1 4 2
direct
0.000 0.000 0.000 Sc
0.696 0.609 0.999 Zn
0.304 0.391 0.001 Zn
0.696 0.999 0.609 Zn
0.304 0.001 0.391 Zn
0.748 0.501 0.501 Cu
0.252 0.499 0.499 Cu
```

Output
Symmetry ... C2/m (12)
Electronic total energy ... -21.10 eV for the cell shown
Energy of formation from the pure elements ... -0.21 eV per atom
Calculated density ... 6.95 Mg/m³


Compound: Sc3Zn8Cu
Source: the Alexandria database
Functional: GGA-PBE
Structure: relaxed

```
Sc3Zn8Cu
1.0
4.963 0.000 1.472
2.263 4.417 1.472
0.036 0.022 8.980
Sc Zn Cu
3 8 1
direct
0.623 0.623 0.131 Sc
0.005 0.005 0.984 Sc
0.498 0.498 0.507 Sc
0.562 0.064 0.811 Zn
0.062 0.561 0.315 Zn
0.562 0.562 0.811 Zn
0.062 0.062 0.315 Zn
0.812 0.812 0.564 Zn
0.313 0.313 0.062 Zn
0.064 0.562 0.811 Zn
0.561 0.062 0.315 Zn
0.126 0.126 0.623 Cu
```

Output
Symmetry ... R3m (160)
Electronic total energy ... -36.24 eV for the cell shown
Energy of formation from the pure elements ... -0.25 eV per atom
Calculated density ... 6.10 Mg/m³


Compound: Sc2ZnCu
Source: the Alexandria database
Functional: GGA-PBE
Structure: relaxed

```
Sc2ZnCu
1.0
4.551 0.031 -0.016
3.347 3.084 -0.016
1.234 0.487 5.682
Cu Sc Zn
1 2 1
direct
0.250 0.250 0.250 Cu
0.995 0.995 0.008 Sc
0.505 0.505 0.492 Sc
0.750 0.750 0.750 Zn
```

Output
Symmetry ... C2/m (12)
Electronic total energy ... -18.20 eV for the cell shown
Energy of formation from the pure elements ... -0.04 eV per atom
Calculated density ... 4.59 Mg/m³


Compound: Sc3ZnCu
Source: the Alexandria database
Functional: GGA-PBE
Structure: relaxed

```
Sc3ZnCu
1.0
-0.578 -1.035 4.790
-4.754 -1.054 -0.801
1.191 -4.709 -0.874
Sc Zn Cu
3 1 1
direct
0.000 0.500 0.000 Sc
0.000 0.000 0.500 Sc
0.500 0.000 0.000 Sc
0.500 0.500 0.500 Zn
0.000 0.000 0.000 Cu
```

Output
Symmetry ... Pm-3m (221)
Electronic total energy ... -23.15 eV for the cell shown
Energy of formation from the pure elements ... 0.24 eV per atom
Calculated density ... 3.65 Mg/m³


Compound: ScZn3Cu2
Source: the Alexandria database
Functional: GGA-PBE
Structure: relaxed

```
ScZn3Cu2
1.0
4.257 0.000 0.000
-2.129 3.687 0.000
0.000 0.000 11.646
Sc Zn Cu
2 6 4
direct
0.000 0.000 0.250 Sc
0.000 0.000 0.750 Sc
0.000 0.000 0.500 Zn
0.000 0.000 0.000 Zn
0.667 0.333 0.601 Zn
0.333 0.667 0.101 Zn
0.667 0.333 0.899 Zn
0.333 0.667 0.399 Zn
0.667 0.333 0.369 Cu
0.333 0.667 0.631 Cu
0.333 0.667 0.869 Cu
0.667 0.333 0.131 Cu
```

Output
Symmetry ... P6_3/mmc (194)
Electronic total energy ... -39.18 eV for the cell shown
Energy of formation from the pure elements ... -0.21 eV per atom
Calculated density ... 6.69 Mg/m³


Compound: ScZn2Cu5
Source: the Alexandria database
Functional: GGA-PBE
Structure: relaxed

```
ScZn2Cu5
1.0
-2.364 1.495 0.517
-4.715 -4.091 -1.911
-2.302 -2.810 5.425
Sc Zn Cu
1 2 5
direct
0.000 0.000 0.000 Sc
0.749 0.751 0.751 Zn
0.251 0.249 0.249 Zn
0.000 0.500 0.500 Cu
0.628 0.594 0.149 Cu
0.372 0.406 0.851 Cu
0.372 0.851 0.406 Cu
0.628 0.149 0.594 Cu
```

Output
Symmetry ... Immm (71)
Electronic total energy ... -29.97 eV for the cell shown
Energy of formation from the pure elements ... -0.08 eV per atom
Calculated density ... 7.32 Mg/m³